An optimized crystal structure of Dy4ZnCo. Source: the Alexandria database, functional PBE-GGA.

Cell lengths 4.515, 5.244, 6.917 Å; angles 79.10, 90.01, 90.00 degrees
Positions (direct):
1 Dy 0.501 0.928 0.270
2 Dy 0.501 0.067 0.726
3 Dy 0.001 0.566 0.726
4 Dy 0.001 0.429 0.271
5 Zn 0.501 0.497 0.998
6 Co 0.001 0.997 0.498

Energy relative to the lowest polymorph listed for this composition: 198.3 meV/atom
Calculated total energy: -27.003 eV for the cell shown
Formation energy from the elements: -36 meV/atom
M_tot: 0.0 μB/cell

=====

An optimized crystal structure of InW. Source: the Alexandria database, functional PBE-GGA.

Cell lengths 5.010, 5.010, 5.010 Å; angles 129.24, 129.24, 74.63 degrees
Positions (direct):
1 In 0.000 0.000 0.000
2 In 0.250 0.750 0.500
3 W 0.500 0.500 0.000
4 W 0.750 0.250 0.500

Energy relative to the lowest polymorph listed for this composition: 292.4 meV/atom
Calculated total energy: -28.605 eV for the cell shown
Formation energy from the elements: 694 meV/atom
M_tot: 0.0 μB/cell

=====

An optimized crystal structure of La5Tl2Pb. Source: the Alexandria database, functional PBE-GGA.

Cell lengths 8.906, 8.906, 9.236 Å; angles 118.83, 118.83, 90.00 degrees
Positions (direct):
1 La 0.511 0.682 0.693
2 La 0.818 0.989 0.307
3 La 0.000 0.000 0.000
4 La 0.500 0.500 0.000
5 La 0.182 0.011 0.693
6 La 0.682 0.182 0.693
7 La 0.011 0.511 0.693
8 La 0.318 0.818 0.307
9 La 0.989 0.489 0.307
10 La 0.489 0.318 0.307
11 Tl 0.134 0.366 0.000
12 Tl 0.634 0.134 0.000
13 Tl 0.366 0.866 0.000
14 Tl 0.866 0.634 0.000
15 Pb 0.750 0.750 0.500
16 Pb 0.250 0.250 0.500

Calculated total energy: -72.739 eV for the cell shown
Formation energy from the elements: -411 meV/atom
M_tot: 0.7 μB/cell